Entry 1:
# ZrSbAsBr2

ZrSbAsBr2 at its PBEsol-relaxed geometry (SCAN, Alexandria).

CIF file:
```
data_ZrSbAsBr2
_cell_length_a 5.0833
_cell_length_b 5.0833
_cell_length_c 5.4758
_cell_angle_alpha 90.00
_cell_angle_beta 90.00
_cell_angle_gamma 90.00
_space_group_name_H-M_alt 'P 1'
_space_group_IT_number 1
loop_
_space_group_symop_operation_xyz
'x,y,z'
loop_
_atom_site_label
_atom_site_fract_x
_atom_site_fract_y
_atom_site_fract_z
Sb1 0.5000 0.5000 0.5000
As1 0.0000 0.0000 0.5000
Br1 0.0000 0.5000 0.0000
Br2 0.5000 0.0000 0.0000
Zr1 0.0000 0.0000 0.0000
```

## Properties
Symmetry: P4/mmm

Entry 2:
# ScAsBr2

ScAsBr2 at its PBEsol-relaxed geometry (SCAN, Alexandria).

CIF file:
```
data_ScAsBr2
_cell_length_a 4.4253
_cell_length_b 4.4449
_cell_length_c 4.4449
_cell_angle_alpha 90.01
_cell_angle_beta 90.00
_cell_angle_gamma 90.00
_space_group_name_H-M_alt 'P 1'
_space_group_IT_number 1
loop_
_space_group_symop_operation_xyz
'x,y,z'
loop_
_atom_site_label
_atom_site_fract_x
_atom_site_fract_y
_atom_site_fract_z
As1 0.5000 0.5000 0.5000
Br1 0.0000 0.5000 0.0000
Br2 0.0000 0.0000 0.5000
Sc1 0.5000 0.0000 0.0000
```

## Properties
Symmetry: P4/mmm

Entry 3:
# ScAsBr2

ScAsBr2 at its PBEsol-relaxed geometry (SCAN, Alexandria).

CIF file:
```
data_ScAsBr2
_cell_length_a 3.8531
_cell_length_b 3.8531
_cell_length_c 7.6216
_cell_angle_alpha 90.00
_cell_angle_beta 90.00
_cell_angle_gamma 90.00
_space_group_name_H-M_alt 'P 1'
_space_group_IT_number 1
loop_
_space_group_symop_operation_xyz
'x,y,z'
loop_
_atom_site_label
_atom_site_fract_x
_atom_site_fract_y
_atom_site_fract_z
As1 0.5000 0.5000 0.6252
Br1 0.0000 0.0000 0.9434
Br2 0.5000 0.5000 0.3062
Sc1 0.0000 0.0000 0.6253
```

## Properties
Symmetry: P4mm

Entry 4:
# ScAsBr

ScAsBr at its PBEsol-relaxed geometry (SCAN, Alexandria).

CIF file:
```
data_ScAsBr
_cell_length_a 3.5296
_cell_length_b 3.5296
_cell_length_c 6.6727
_cell_angle_alpha 90.00
_cell_angle_beta 90.00
_cell_angle_gamma 120.00
_space_group_name_H-M_alt 'P 1'
_space_group_IT_number 1
loop_
_space_group_symop_operation_xyz
'x,y,z'
loop_
_atom_site_label
_atom_site_fract_x
_atom_site_fract_y
_atom_site_fract_z
Sc1 0.6667 0.3333 0.3350
As1 0.0000 0.0000 0.0662
Br1 0.3333 0.6667 0.5988
```

## Properties
Symmetry: P3m1

Entry 5:
# ScAsBr2

ScAsBr2 at its PBEsol-relaxed geometry (SCAN, Alexandria).

CIF file:
```
data_ScAsBr2
_cell_length_a 5.2385
_cell_length_b 7.1809
_cell_length_c 7.1809
_cell_angle_alpha 82.35
_cell_angle_beta 68.61
_cell_angle_gamma 68.61
_space_group_name_H-M_alt 'P 1'
_space_group_IT_number 1
loop_
_space_group_symop_operation_xyz
'x,y,z'
loop_
_atom_site_label
_atom_site_fract_x
_atom_site_fract_y
_atom_site_fract_z
Sc1 0.5000 0.0000 0.0000
Sc2 0.2500 0.5000 0.5000
As1 0.0000 0.0000 0.0000
As2 0.7500 0.5000 0.5000
Br1 0.8750 0.8559 0.6441
Br2 0.3750 0.1441 0.3559
Br3 0.4809 0.6441 0.1441
Br4 0.2691 0.3559 0.8559
```

## Properties
Symmetry: I-42d

Entry 6:
# ScAsBr

ScAsBr at its PBEsol-relaxed geometry (SCAN, Alexandria).

CIF file:
```
data_ScAsBr
_cell_length_a 3.2089
_cell_length_b 3.2089
_cell_length_c 6.8936
_cell_angle_alpha 103.44
_cell_angle_beta 103.44
_cell_angle_gamma 90.06
_space_group_name_H-M_alt 'P 1'
_space_group_IT_number 1
loop_
_space_group_symop_operation_xyz
'x,y,z'
loop_
_atom_site_label
_atom_site_fract_x
_atom_site_fract_y
_atom_site_fract_z
Sc1 0.6675 0.6675 0.3349
As1 0.0327 0.0327 0.0654
Br1 0.2998 0.2998 0.5996
```

## Properties
Symmetry: I4mm

Entry 7:
# Sc3AsBr

Sc3AsBr at its PBEsol-relaxed geometry (SCAN, Alexandria).

CIF file:
```
data_Sc3AsBr
_cell_length_a 4.8541
_cell_length_b 4.8541
_cell_length_c 4.8541
_cell_angle_alpha 90.00
_cell_angle_beta 90.00
_cell_angle_gamma 90.00
_space_group_name_H-M_alt 'P 1'
_space_group_IT_number 1
loop_
_space_group_symop_operation_xyz
'x,y,z'
loop_
_atom_site_label
_atom_site_fract_x
_atom_site_fract_y
_atom_site_fract_z
Sc1 0.0000 0.5000 0.0000
Sc2 0.0000 0.0000 0.5000
Sc3 0.5000 0.0000 0.0000
As1 0.5000 0.5000 0.5000
Br1 0.0000 0.0000 0.0000
```

## Properties
Symmetry: Pm-3m

Entry 8:
# ScTaAs2Br

ScTaAs2Br at its PBEsol-relaxed geometry (SCAN, Alexandria).

CIF file:
```
data_ScTaAs2Br
_cell_length_a 4.9744
_cell_length_b 4.9744
_cell_length_c 4.9278
_cell_angle_alpha 90.00
_cell_angle_beta 90.00
_cell_angle_gamma 90.00
_space_group_name_H-M_alt 'P 1'
_space_group_IT_number 1
loop_
_space_group_symop_operation_xyz
'x,y,z'
loop_
_atom_site_label
_atom_site_fract_x
_atom_site_fract_y
_atom_site_fract_z
Sc1 0.5000 0.5000 0.5000
As1 0.0000 0.5000 0.0000
As2 0.5000 0.0000 0.0000
Br1 0.0000 0.0000 0.5000
Ta1 0.0000 0.0000 0.0000
```

## Properties
Symmetry: P4/mmm

Entry 9:
# ScTcAs2Br

ScTcAs2Br at its PBEsol-relaxed geometry (SCAN, Alexandria).

CIF file:
```
data_ScTcAs2Br
_cell_length_a 4.6876
_cell_length_b 4.6876
_cell_length_c 5.1580
_cell_angle_alpha 90.00
_cell_angle_beta 90.00
_cell_angle_gamma 90.00
_space_group_name_H-M_alt 'P 1'
_space_group_IT_number 1
loop_
_space_group_symop_operation_xyz
'x,y,z'
loop_
_atom_site_label
_atom_site_fract_x
_atom_site_fract_y
_atom_site_fract_z
Sc1 0.5000 0.5000 0.5000
As1 0.0000 0.5000 0.0000
As2 0.5000 0.0000 0.0000
Tc1 0.0000 0.0000 0.0000
Br1 0.0000 0.0000 0.5000
```

## Properties
Symmetry: P4/mmm

Entry 10:
# ScTcAsBr2

ScTcAsBr2 at its PBEsol-relaxed geometry (SCAN, Alexandria).

CIF file:
```
data_ScTcAsBr2
_cell_length_a 4.7069
_cell_length_b 5.0040
_cell_length_c 5.0040
_cell_angle_alpha 90.00
_cell_angle_beta 90.00
_cell_angle_gamma 90.00
_space_group_name_H-M_alt 'P 1'
_space_group_IT_number 1
loop_
_space_group_symop_operation_xyz
'x,y,z'
loop_
_atom_site_label
_atom_site_fract_x
_atom_site_fract_y
_atom_site_fract_z
Sc1 0.5000 0.5000 0.5000
As1 0.5000 0.0000 0.0000
Tc1 0.0000 0.0000 0.0000
Br1 0.0000 0.0000 0.5000
Br2 0.0000 0.5000 0.0000
```

## Properties
Symmetry: P4/mmm

Entry 11:
# ScTlAsBr2

ScTlAsBr2 at its PBEsol-relaxed geometry (SCAN, Alexandria).

CIF file:
```
data_ScTlAsBr2
_cell_length_a 5.3322
_cell_length_b 5.4104
_cell_length_c 5.4104
_cell_angle_alpha 90.00
_cell_angle_beta 90.00
_cell_angle_gamma 90.00
_space_group_name_H-M_alt 'P 1'
_space_group_IT_number 1
loop_
_space_group_symop_operation_xyz
'x,y,z'
loop_
_atom_site_label
_atom_site_fract_x
_atom_site_fract_y
_atom_site_fract_z
Sc1 0.5000 0.5000 0.5000
Tl1 0.0000 0.0000 0.0000
As1 0.5000 0.0000 0.0000
Br1 0.0000 0.0000 0.5000
Br2 0.0000 0.5000 0.0000
```

## Properties
Symmetry: P4/mmm

Entry 12:
# AsSeBr2

AsSeBr2 at its PBEsol-relaxed geometry (SCAN, Alexandria).

CIF file:
```
data_AsSeBr2
_cell_length_a 3.9507
_cell_length_b 3.9507
_cell_length_c 7.1633
_cell_angle_alpha 90.00
_cell_angle_beta 90.00
_cell_angle_gamma 90.00
_space_group_name_H-M_alt 'P 1'
_space_group_IT_number 1
loop_
_space_group_symop_operation_xyz
'x,y,z'
loop_
_atom_site_label
_atom_site_fract_x
_atom_site_fract_y
_atom_site_fract_z
As1 0.5000 0.5000 0.6333
Se1 0.0000 0.0000 0.6160
Br1 0.0000 0.0000 0.9465
Br2 0.5000 0.5000 0.3042
```

## Properties
Symmetry: P4mm

Entry 13:
# AsSeBr

AsSeBr at its PBEsol-relaxed geometry (SCAN, Alexandria).

CIF file:
```
data_AsSeBr
_cell_length_a 3.7193
_cell_length_b 3.7193
_cell_length_c 6.8031
_cell_angle_alpha 105.86
_cell_angle_beta 105.86
_cell_angle_gamma 90.00
_space_group_name_H-M_alt 'P 1'
_space_group_IT_number 1
loop_
_space_group_symop_operation_xyz
'x,y,z'
loop_
_atom_site_label
_atom_site_fract_x
_atom_site_fract_y
_atom_site_fract_z
As1 0.1182 0.1182 0.2363
Br1 0.3047 0.3047 0.6093
Se1 0.5772 0.5772 0.1544
```

## Properties
Symmetry: I4mm

Entry 14:
# AsSeBr2

AsSeBr2 at its PBEsol-relaxed geometry (SCAN, Alexandria).

CIF file:
```
data_AsSeBr2
_cell_length_a 4.9187
_cell_length_b 4.9187
_cell_length_c 4.9187
_cell_angle_alpha 60.00
_cell_angle_beta 60.00
_cell_angle_gamma 60.00
_space_group_name_H-M_alt 'P 1'
_space_group_IT_number 1
loop_
_space_group_symop_operation_xyz
'x,y,z'
loop_
_atom_site_label
_atom_site_fract_x
_atom_site_fract_y
_atom_site_fract_z
As1 0.5000 0.5000 0.5000
Se1 0.7500 0.7500 0.7500
Br1 0.0000 0.0000 0.0000
Br2 0.2500 0.2500 0.2500
```

## Properties
Symmetry: F-43m

Entry 15:
# AsSeBr2

AsSeBr2 at its PBEsol-relaxed geometry (SCAN, Alexandria).

CIF file:
```
data_AsSeBr2
_cell_length_a 3.3994
_cell_length_b 4.4160
_cell_length_c 5.9767
_cell_angle_alpha 90.00
_cell_angle_beta 90.00
_cell_angle_gamma 90.00
_space_group_name_H-M_alt 'P 1'
_space_group_IT_number 1
loop_
_space_group_symop_operation_xyz
'x,y,z'
loop_
_atom_site_label
_atom_site_fract_x
_atom_site_fract_y
_atom_site_fract_z
As1 0.0000 0.5000 0.5000
Se1 0.5000 0.5000 0.0000
Br1 0.0000 0.0000 0.0000
Br2 0.5000 0.0000 0.5000
```

## Properties
Symmetry: Pmmm

no.,formation energy without anion corrections (eV/atom),calculated volume (A^3/atom)
1,-0.223,28.3
2,-0.303,21.9
3,-1.038,28.3
4,-1.041,24.0
5,-0.833,29.3
6,-0.937,22.3
7,-0.051,22.9
8,0.068,24.4
9,0.180,22.7
10,0.182,23.6
11,0.161,31.2
12,-0.037,28.0
13,-0.161,28.9
14,0.548,21.0
15,0.490,22.4